Record 1
Computed, not measured: BaSi3PdPt after structural relaxation at the GGA-PBE level of DFT.

a b c (Å): 6.1882 6.5562 7.2645
angles (deg): 116.82 90.00 90.00
Sites, in units of the cell vectors:
Ba1 0.7500 0.2596 0.5192
Ba2 0.2500 0.7404 0.4808
Si1 0.2500 0.2678 0.5355
Si2 0.0000 0.2220 0.0000
Si3 0.5000 0.7780 0.0000
Si4 0.5000 0.2220 0.0000
Si5 0.0000 0.7780 0.0000
Si6 0.7500 0.7322 0.4645
Pd1 0.2500 0.4439 0.8878
Pd2 0.7500 0.5561 0.1122
Pt1 0.2500 0.0925 0.1851
Pt2 0.7500 0.9075 0.8149

Magnetization ... 0.00 μB per formula unit
Uncorrected formation energy ... -45.5 kJ per mole of atoms


Record 2
Computed, not measured: Ba2Si2Pd2Pt after structural relaxation at the GGA-PBE level of DFT.

a b c (Å): 4.5514 7.0623 6.0767
angles (deg): 80.97 68.01 71.20
Sites, in units of the cell vectors:
Ba1 0.5645 0.1949 0.6760
Ba2 0.4355 0.8051 0.3240
Si1 0.2238 0.6525 0.8999
Si2 0.7762 0.3475 0.1001
Pd1 0.1617 0.4257 0.2509
Pd2 0.8383 0.5743 0.7491
Pt1 0.0000 0.0000 0.0000

Magnetization ... 0.00 μB per formula unit
Uncorrected formation energy ... -64.7 kJ per mole of atoms


Record 3
Computed, not measured: BaSiPdPt6 after structural relaxation at the GGA-PBE level of DFT.

a b c (Å): 8.2373 6.7980 9.0012
angles (deg): 112.19 117.23 90.00
Sites, in units of the cell vectors:
Ba1 0.8395 0.5895 0.6790
Ba2 0.1605 0.4105 0.3210
Si1 0.5000 0.5000 0.0000
Si2 0.5000 0.0000 0.0000
Pd1 0.5000 0.0000 0.5000
Pd2 0.0000 0.0000 0.5000
Pt1 0.3894 0.6394 0.7788
Pt2 0.8680 0.1180 0.7359
Pt3 0.8194 0.0401 0.1844
Pt4 0.3650 0.6443 0.1844
Pt5 0.3650 0.0401 0.1844
Pt6 0.8194 0.6443 0.1844
Pt7 0.6106 0.3606 0.2212
Pt8 0.1320 0.8820 0.2641
Pt9 0.1806 0.9599 0.8156
Pt10 0.6350 0.3557 0.8156
Pt11 0.6350 0.9599 0.8156
Pt12 0.1806 0.3557 0.8156

Magnetization ... 0.00 μB per formula unit
Uncorrected formation energy ... -16.3 kJ per mole of atoms


Record 4
Computed, not measured: BaSiPd2Pt after structural relaxation at the GGA-PBE level of DFT.

a b c (Å): 4.7934 4.7934 4.7310
angles (deg): 90.00 90.00 90.00
Sites, in units of the cell vectors:
Si1 0.0000 0.0000 0.0000
Pd1 0.0000 0.5000 0.0000
Pd2 0.5000 0.0000 0.0000
Ba1 0.5000 0.5000 0.5000
Pt1 0.0000 0.0000 0.5000

Magnetization ... 0.00 μB per formula unit
Uncorrected formation energy ... -52.6 kJ per mole of atoms


Record 5
Computed, not measured: Ba2SiPd6Pt after structural relaxation at the GGA-PBE level of DFT.

a b c (Å): 7.2065 6.5711 8.4195
angles (deg): 55.83 48.98 85.29
Sites, in units of the cell vectors:
Ba1 0.7734 0.2268 0.5478
Ba2 0.2267 0.7732 0.4522
Si1 0.0000 0.0000 0.0000
Pd1 0.2706 0.2331 0.5210
Pd2 0.7670 0.7289 0.0249
Pd3 0.2459 0.7549 0.8663
Pd4 0.7541 0.2451 0.1337
Pd5 0.2330 0.2711 0.9751
Pd6 0.7294 0.7669 0.4790
Pt1 0.5000 0.5000 0.0000

Magnetization ... 0.00 μB per formula unit
Uncorrected formation energy ... -52.4 kJ per mole of atoms


Record 6
Computed, not measured: Ba2Sn4PdPt3 after structural relaxation at the GGA-PBE level of DFT.

a b c (Å): 4.7980 4.7980 10.7919
angles (deg): 90.00 90.00 90.00
Sites, in units of the cell vectors:
Ba1 0.5000 0.0000 0.2533
Ba2 0.0000 0.5000 0.7467
Sn1 0.5000 0.5000 0.0000
Sn2 0.0000 0.0000 0.0000
Sn3 0.5000 0.0000 0.6191
Sn4 0.0000 0.5000 0.3809
Pd1 0.5000 0.5000 0.5000
Pt1 0.0000 0.0000 0.5000
Pt2 0.5000 0.0000 0.8730
Pt3 0.0000 0.5000 0.1270

Magnetization ... 0.00 μB per formula unit
Formation enthalpy at 0 K ... -7.9 eV per formula unit


Record 7
Computed, not measured: Ba6SrPdPt after structural relaxation at the GGA-PBE level of DFT.

a b c (Å): 8.4805 8.4778 8.1785
angles (deg): 90.23 89.72 59.64
Sites, in units of the cell vectors:
Ba1 0.0055 0.3959 0.2757
Ba2 0.3960 0.0054 0.7243
Ba3 0.6001 0.3967 0.7230
Ba4 0.0002 0.6014 0.7243
Ba5 0.3968 0.6003 0.2770
Ba6 0.6013 0.0004 0.2756
Sr1 0.0000 0.0001 0.0000
Pd1 0.6662 0.6662 0.5000
Pt1 0.3337 0.3338 0.5000

Magnetization ... 0.00 μB per formula unit
Formation enthalpy at 0 K ... -2.2 eV per formula unit


Record 8
Computed, not measured: Ba8TlPdPt2 after structural relaxation at the GGA-PBE level of DFT.

a b c (Å): 7.7811 7.6069 9.7873
angles (deg): 90.00 90.00 88.77
Sites, in units of the cell vectors:
Ba1 0.1841 0.7691 0.2294
Ba2 0.6757 0.7197 0.0000
Ba3 0.8159 0.2309 0.2294
Ba4 0.8159 0.2309 0.7706
Ba5 0.3243 0.2803 0.0000
Ba6 0.1841 0.7691 0.7706
Ba7 0.6587 0.7081 0.5000
Ba8 0.3413 0.2919 0.5000
Tl1 0.0000 0.0000 0.5000
Pd1 0.0000 0.0000 0.0000
Pt1 0.5000 0.5000 0.7538
Pt2 0.5000 0.5000 0.2462

Magnetization ... 0.00 μB per formula unit
Formation enthalpy at 0 K ... -5.5 eV per formula unit